Sr4Se3: relaxed, GGA-PBE.

Calculated values
space-group type = P6/mmm, No. 191
crystal system = hexagonal

a = 6.4401 Å, b = 6.4401 Å, c = 6.2700 Å
α = 90.00°, β = 90.00°, γ = 120.00°
Atoms (fractional coordinates):
1 Sr 0.6667 0.3333 0.5000
2 Se 0.0000 0.5000 0.0000
3 Sr 0.3333 0.6667 0.5000
4 Se 0.5000 0.0000 0.0000
5 Sr 0.0000 0.0000 0.7713
6 Se 0.5000 0.5000 0.0000
7 Sr 0.0000 0.0000 0.2287

---

Pm5NdHoEr2: relaxed, GGA-PBE.

Calculated values
energy relative to the elements = 147 meV per atom
space-group type = Cmc2_1, No. 36
crystal system = orthorhombic

a = 5.6441 Å, b = 10.5331 Å, c = 10.7250 Å
α = 90.00°, β = 90.00°, γ = 105.54°
Atoms (fractional coordinates):
1 Er 0.1158 0.2315 0.3171
2 Pm 0.0165 0.0330 0.0226
3 Pm 0.7025 0.4050 0.2044
4 Er 0.1100 0.2200 0.7383
5 Pm 0.4795 0.9591 0.7416
6 Pm 0.7186 0.4372 0.8083
7 Nd 0.7987 0.5973 0.5098
8 Ho 0.5889 0.1777 0.9571
9 Pm 0.6084 0.2168 0.5249
10 Er 0.8842 0.7685 0.8171
11 Pm 0.9835 0.9670 0.5226
12 Pm 0.3916 0.7832 0.0249
13 Pm 0.2814 0.5628 0.3083
14 Pm 0.2975 0.5950 0.7044
15 Er 0.8900 0.7800 0.2383
16 Ho 0.4111 0.8223 0.4571
17 Nd 0.2013 0.4027 0.0098
18 Pm 0.5205 0.0409 0.2416

---

Pa2BeAlN5: relaxed, GGA-PBE.

Calculated values
space-group type = Cmc2_1, No. 36
crystal system = orthorhombic

a = 3.2406 Å, b = 6.8059 Å, c = 9.2890 Å
α = 90.00°, β = 90.00°, γ = 103.77°
Atoms (fractional coordinates):
1 N 0.2974 0.5948 0.6628
2 Pa 0.8792 0.7584 0.1959
3 N 0.5040 0.0080 0.2845
4 N 0.9524 0.9049 0.5273
5 N 0.6508 0.3015 0.5155
6 N 0.0476 0.0951 0.0273
7 Be 0.5376 0.0752 0.9638
8 Al 0.8018 0.6035 0.5070
9 N 0.6937 0.3873 0.8612
10 Pa 0.1284 0.2567 0.3059
11 N 0.4960 0.9920 0.7845
12 N 0.3492 0.6985 0.0156
13 N 0.3063 0.6127 0.3612
14 Al 0.1982 0.3965 0.0070
15 Pa 0.1208 0.2416 0.6959
16 Pa 0.8716 0.7433 0.8059
17 N 0.7026 0.4052 0.1628
18 Be 0.4624 0.9248 0.4638

---

Ca3Y: relaxed, GGA-PBE.

Calculated values
energy relative to the elements = 68 meV per atom
space-group type = P-6m2, No. 187
crystal system = hexagonal

a = 3.7775 Å, b = 3.7775 Å, c = 12.6036 Å
α = 90.00°, β = 90.00°, γ = 120.00°
Last column: magnetic moment on the atom in μB.
Atoms (fractional coordinates):
1 Ca 0.6667 0.3333 0.2500  0.01
2 Y 0.6667 0.3333 0.7500  0.31
3 Ca 0.0000 0.0000 0.5110  0.04
4 Ca 0.0000 0.0000 0.9890  0.04

---

no.,E_tot (eV/atom),DOS at the Fermi energy (states/eV/atom),ρ (g/cm3)
1,-3.0615,1.027,4.331
2,-4.5441,1.573,7.400
3,-8.8052,0.043,9.482
4,-3.0488,1.444,2.230